1.
# Tl3CoAg

Tl3CoAg after structural relaxation (PBE, the Alexandria database).

Cell lengths 5.068, 5.068, 5.068 Å; angles 90.00, 90.00, 90.00 degrees
Element x y z (fractional)
1 Tl 0.000 0.000 0.500
2 Tl 0.000 0.500 0.000
3 Tl 0.500 0.000 0.000
4 Co 0.000 0.000 0.000
5 Ag 0.500 0.500 0.500

D(E_F) = 2.1 states/eV per cell
ΔH_f (0 K) = 0.33 eV/atom

***

2.
# ReHgS2Cl

ReHgS2Cl after structural relaxation (PBE, the Alexandria database).

Cell lengths 4.598, 4.598, 5.124 Å; angles 90.00, 90.00, 90.00 degrees
Element x y z (fractional)
1 Re 0.000 0.000 0.000
2 Hg 0.500 0.500 0.500
3 S 0.000 0.500 0.000
4 S 0.500 0.000 0.000
5 Cl 0.000 0.000 0.500

D(E_F) = 5.4 states/eV per cell
ΔE_f (raw) = 124 meV per atom

***

3.
# Cd2CoTe

Cd2CoTe after structural relaxation (PBE, the Alexandria database).

Cell lengths 3.141, 3.141, 8.630 Å; angles 90.00, 90.00, 90.00 degrees
Element x y z (fractional)
1 Cd 0.000 0.000 0.000
2 Cd 0.500 0.500 0.266
3 Co 0.000 0.000 0.483
4 Te 0.500 0.500 0.637

D(E_F) = 2.5 states/eV per cell
ΔE_f (raw) = 135 meV per atom

***

4.
# Mn2PtN

Mn2PtN after structural relaxation (PBE, the Alexandria database).

Cell lengths 6.752, 6.752, 6.752 Å; angles 24.31, 24.31, 24.31 degrees
Element x y z (fractional)
1 Mn 0.223 0.223 0.223
2 Mn 0.777 0.777 0.777
3 Pt 0.000 0.000 0.000
4 N 0.500 0.500 0.500

D(E_F) = 3.5 states/eV per cell
ΔE_f (raw) = -283 meV per atom

***

Which of these has the lowest D(E_F)? Tl3CoAg